(one)
First-principles (GGA-PBE) data for crystalline YInTe2N at its relaxed geometry, as listed in Alexandria.

Values from the calculation:
Crystal system   tetragonal

```
data_YInTe2N
_space_group_name_H-M_alt 'P 4/m m m'
_space_group_IT_number 123
_space_group_name_Hall '-P 4 2'
_cell_length_a 6.215
_cell_length_b 6.215
_cell_length_c 4.073
_cell_angle_alpha 90.00
_cell_angle_beta 90.00
_cell_angle_gamma 90.00
loop_
_atom_site_label
_atom_site_fract_x
_atom_site_fract_y
_atom_site_fract_z
_atom_site_occupancy
Y1 0.000 0.000 0.000 1
In1 0.500 0.500 0.500 1
Te1 0.000 0.500 0.000 1
N1 0.000 0.000 0.500 1
```

---

(two)
First-principles (GGA-PBE) data for crystalline YInTe2N at its relaxed geometry, as listed in Alexandria.

Values from the calculation:
Crystal system   tetragonal

```
data_YInTe2N
_space_group_name_H-M_alt 'P 4/m m m'
_space_group_IT_number 123
_space_group_name_Hall '-P 4 2'
_cell_length_a 5.752
_cell_length_b 5.752
_cell_length_c 4.127
_cell_angle_alpha 90.00
_cell_angle_beta 90.00
_cell_angle_gamma 90.00
loop_
_atom_site_label
_atom_site_fract_x
_atom_site_fract_y
_atom_site_fract_z
_atom_site_occupancy
Y1 0.000 0.000 0.000 1
In1 0.500 0.500 0.500 1
Te1 0.000 0.500 0.500 1
N1 0.500 0.500 0.000 1
```

---

Q: Which of them is the least stable? A: (two).